# PBE As2PdW2, relaxed
data_As2PdW2
_cell_length_a 4.192
_cell_length_b 4.192
_cell_length_c 5.882
_cell_angle_alpha 69.13
_cell_angle_beta 69.13
_cell_angle_gamma 90.00
_symmetry_space_group_name_H-M 'P 1'
_symmetry_Int_Tables_number 1
_symmetry_space_group_name_Hall 'P 1'
loop_
_atom_site_label
_atom_site_fract_x
_atom_site_fract_y
_atom_site_fract_z
As1 0.385 0.385 0.231
As2 0.615 0.615 0.769
Pd1 0.000 0.000 0.000
W1 0.750 0.250 0.500
W2 0.250 0.750 0.500
# calculated formation energy: 0.36 eV/atom
# total moment: 0.0000 μB/atom
# symmetry: I4/mmm (139)
# V: 89 Å³ per cell